A geometry-optimized ThMg2Zn structure, computed with PBE.

a = 3.2216 Å, b = 3.2216 Å, c = 33.5854 Å
α = 90.00°, β = 90.00°, γ = 120.00°
Space group R-3m (No. 166, hexagonal axes)
Inequivalent atoms, fractional coordinates:
Th 0.0000 0.0000 0.0000 (multiplicity 3)
Mg 0.0000 0.0000 0.0996 (multiplicity 6)
Zn 0.0000 0.0000 0.5000 (multiplicity 3)

V (A^3/atom): 25.16
Final energy (eV per atom): -2.73
Formation enthalpy at 0 K (eV per atom): 0.239